(1)
Computed, not measured: a relaxed structure of Tb12Dy2Tm at the PBE-GGA level of DFT.

Cell and atoms, written as POSCAR:
```
Tb12Dy2Tm
1.0
3.551 0.000 0.000
0.000 5.584 0.000
-1.759 0.000 24.227
Tb Dy Tm
12 2 1
Direct
0.036 0.000 0.073
0.224 0.000 0.444
0.285 0.500 0.575
0.335 0.000 0.671
0.402 0.000 0.799
0.432 0.500 0.864
0.568 0.500 0.136
0.598 0.000 0.201
0.665 0.000 0.329
0.715 0.500 0.425
0.776 0.000 0.556
0.964 0.000 0.927
0.134 0.500 0.271
0.866 0.500 0.729
0.500 0.500 0.000
```

Results
Uncorrected energy = -67.46 eV per cell
Magnetic moment = 0.0 μB per cell
Energy of formation = 0.12 eV/atom
SG = P2/m, No. 10

---

(2)
Computed, not measured: a relaxed structure of Tb3Dy6Tm at the PBE-GGA level of DFT.

Cell and atoms, written as POSCAR:
```
Tb3Dy6Tm
1.0
5.465 -9.443 0.000
5.465 9.443 0.000
0.000 0.000 6.177
Tb Dy Tm
6 12 2
Direct
0.110 0.890 0.500
0.221 0.441 0.889
0.441 0.221 0.389
0.559 0.779 0.889
0.779 0.559 0.389
0.890 0.110 0.000
0.035 0.455 0.291
0.119 0.211 0.469
0.211 0.119 0.969
0.220 0.780 0.074
0.454 0.546 0.346
0.455 0.035 0.791
0.545 0.965 0.291
0.546 0.454 0.846
0.780 0.220 0.574
0.789 0.881 0.469
0.881 0.789 0.969
0.965 0.545 0.791
0.295 0.705 0.569
0.705 0.295 0.069
```

Results
Uncorrected energy = -88.98 eV per cell
Magnetic moment = 0.0 μB per cell
Energy of formation = 0.15 eV/atom
ΔE to the lowest computed polymorph = 0.026 eV per atom
SG = Cmc2_1, No. 36

---

(3)
Computed, not measured: a relaxed structure of Tb4DyTm15 at the PBE-GGA level of DFT.

Cell and atoms, written as POSCAR:
```
Tb4DyTm15
1.0
4.948 0.000 0.000
0.000 4.948 0.000
0.000 0.000 24.727
Tb Dy Tm
4 1 15
Direct
0.000 0.000 0.100
0.000 0.000 0.300
0.000 0.000 0.700
0.000 0.000 0.900
0.000 0.000 0.500
0.000 0.500 0.000
0.000 0.500 0.200
0.000 0.500 0.400
0.000 0.500 0.600
0.000 0.500 0.800
0.500 0.000 0.000
0.500 0.000 0.200
0.500 0.000 0.400
0.500 0.000 0.600
0.500 0.000 0.800
0.500 0.500 0.100
0.500 0.500 0.300
0.500 0.500 0.500
0.500 0.500 0.700
0.500 0.500 0.900
```

Results
Uncorrected energy = -89.70 eV per cell
Magnetic moment = 0.0 μB per cell
Energy of formation = 0.02 eV/atom
SG = P4/mmm, No. 123